Crystalline K2AcO2F at its relaxed geometry. Source: Alexandria via LeMat-Bulk, functional PBE-GGA.

ΔE_f (raw), eV per atom: -2.332
Fermi-level density of states, states/eV/atom: 0.00

Cell: 4.857 4.857 5.813 Å, 90.00 90.00 90.00°
Positions (direct):
O: 0.500 0.000 0.000
O: 0.000 0.500 0.000
K: 0.500 0.500 0.249
K: 0.500 0.500 0.751
F: 0.000 0.000 0.500
Ac: 0.000 0.000 0.000


Crystalline KAcPdF6 at its relaxed geometry. Source: Alexandria via LeMat-Bulk, functional PBE-GGA.

ΔE_f (raw), eV per atom: -2.796
Fermi-level density of states, states/eV/atom: 0.05

Cell: 8.177 8.317 7.855 Å, 121.97 121.37 90.00°
Positions (direct):
Ac: 0.000 0.000 0.500
Ac: 0.500 0.000 0.500
F: 0.540 0.386 0.727
F: 0.460 0.158 0.273
F: 0.540 0.842 0.727
F: 0.813 0.614 0.273
F: 0.813 0.158 0.273
F: 0.187 0.386 0.727
F: 0.636 0.886 0.272
F: 0.460 0.614 0.273
F: 0.187 0.842 0.727
F: 0.107 0.857 0.214
F: 0.364 0.114 0.728
F: 0.893 0.143 0.786
Pd: 0.500 0.500 0.000
Pd: 0.500 0.000 0.000
K: 0.187 0.437 0.375
K: 0.813 0.563 0.625


Crystalline K2AcPmF8 at its relaxed geometry. Source: Alexandria via LeMat-Bulk, functional PBE-GGA.

ΔE_f (raw), eV per atom: -3.730
Fermi-level density of states, states/eV/atom: 0.00

Cell: 6.044 6.044 7.192 Å, 114.85 114.85 90.00°
Positions (direct):
F: 0.155 0.632 0.742
F: 0.368 0.845 0.258
F: 0.587 0.632 0.742
F: 0.155 0.110 0.742
F: 0.368 0.413 0.258
F: 0.587 0.110 0.742
F: 0.890 0.413 0.258
F: 0.890 0.845 0.258
K: 0.750 0.250 0.500
K: 0.000 0.000 0.000
Ac: 0.500 0.500 0.000
Pm: 0.250 0.750 0.500


Crystalline K2RbAcF6 at its relaxed geometry. Source: Alexandria via LeMat-Bulk, functional PBE-GGA.

ΔE_f (raw), eV per atom: -3.288
Fermi-level density of states, states/eV/atom: 0.00

Cell: 6.769 6.990 6.993 Å, 119.98 119.84 90.00°
Each line ends with the local moment (μB).
Positions (direct):
K: 0.198 0.250 0.500  0.00
K: 0.802 0.750 0.500  0.00
F: 0.136 0.646 0.822  -0.01
F: 0.617 0.282 0.563  -0.05
F: 0.864 0.354 0.178  -0.01
F: 0.383 0.718 0.437  -0.05
F: 0.136 0.176 0.822  -0.01
F: 0.864 0.824 0.178  -0.01
Rb: 0.500 0.000 0.000  0.00
Ac: 0.000 0.500 0.000  -0.01


Crystalline KAcSeF2 at its relaxed geometry. Source: Alexandria via LeMat-Bulk, functional PBE-GGA.

ΔE_f (raw), eV per atom: -2.886
Fermi-level density of states, states/eV/atom: 0.00

Cell: 4.867 4.867 6.169 Å, 90.00 90.00 90.00°
Positions (direct):
F: 0.000 0.500 0.991
F: 0.500 0.000 0.991
Se: 0.000 0.000 0.499
K: 0.500 0.500 0.517
Ac: 0.000 0.000 0.001


Crystalline K2AcSmF8 at its relaxed geometry. Source: Alexandria via LeMat-Bulk, functional PBE-GGA.

ΔE_f (raw), eV per atom: -3.730
Fermi-level density of states, states/eV/atom: 0.00

Cell: 6.036 6.036 7.175 Å, 114.87 114.87 90.00°
Positions (direct):
Sm: 0.250 0.750 0.500
F: 0.891 0.414 0.259
F: 0.155 0.632 0.741
F: 0.891 0.845 0.259
F: 0.368 0.845 0.259
F: 0.155 0.109 0.741
F: 0.586 0.109 0.741
F: 0.368 0.414 0.259
F: 0.586 0.632 0.741
K: 0.750 0.250 0.500
K: 0.000 0.000 0.000
Ac: 0.500 0.500 0.000


Crystalline K2AcTiF8 at its relaxed geometry. Source: Alexandria via LeMat-Bulk, functional PBE-GGA.

ΔE_f (raw), eV per atom: -3.414

Cell: 4.395 6.104 7.661 Å, 90.00 90.00 95.00°
Each line ends with the local moment (μB).
Positions (direct):
F: 0.493 0.226 0.500  0.00
F: 0.371 0.184 0.000  -0.01
F: 0.922 0.201 0.783  0.01
F: 0.507 0.774 0.500  0.00
F: 0.629 0.816 0.000  -0.01
F: 0.078 0.799 0.783  0.01
F: 0.078 0.799 0.217  0.01
F: 0.922 0.201 0.217  0.01
K: 0.500 0.500 0.772  0.00
K: 0.500 0.500 0.228  0.00
Ti: 0.000 0.000 0.000  0.92
Ac: 0.000 0.000 0.500  0.00


Crystalline K2AcTlF8 at its relaxed geometry. Source: Alexandria via LeMat-Bulk, functional PBE-GGA.

ΔE_f (raw), eV per atom: -2.964
Fermi-level density of states, states/eV/atom: 0.00

Cell: 4.161 6.264 8.110 Å, 90.00 90.00 92.83°
Positions (direct):
F: 0.554 0.797 0.000
F: 0.970 0.213 0.234
F: 0.970 0.213 0.766
F: 0.506 0.226 0.500
F: 0.446 0.203 0.000
F: 0.494 0.774 0.500
F: 0.030 0.787 0.766
F: 0.030 0.787 0.234
Ac: 0.000 0.000 0.500
K: 0.500 0.500 0.236
K: 0.500 0.500 0.764
Tl: 0.000 0.000 0.000